The following is a PBE calculation of crystalline Y2Al3InPt4 at its relaxed geometry, from the Alexandria database.

Geometry as POSCAR:
```
Y2Al3InPt4
1.0
-1.194 3.812 1.051
-3.903 -0.960 -0.952
-1.731 -3.461 10.590
Pt Al Y In
4 3 2 1
direct
0.000 0.000 0.000 Pt
0.500 0.000 0.656 Pt
0.000 0.500 0.344 Pt
0.500 0.500 0.000 Pt
0.500 0.000 0.873 Al
0.000 0.000 0.500 Al
0.000 0.500 0.127 Al
0.500 0.000 0.246 Y
0.000 0.500 0.754 Y
0.500 0.500 0.500 In
```

* M_tot: 0.000 μB per atom

---

The following is a PBE calculation of crystalline ZrAlInPt2 at its relaxed geometry, from the Alexandria database.

Geometry as POSCAR:
```
ZrAlInPt2
1.0
4.666 0.000 0.000
0.000 4.929 0.000
0.000 0.000 4.666
Pt Zr In Al
2 1 1 1
direct
0.000 0.000 0.500 Pt
0.500 0.000 0.000 Pt
0.500 0.500 0.500 Zr
0.000 0.500 0.000 In
0.000 0.000 0.000 Al
```

* M_tot: 0.000 μB per atom

---

The following is a PBE calculation of crystalline PuAl4In at its relaxed geometry, from the Alexandria database.

Geometry as POSCAR:
```
PuAl4In
1.0
-4.164 -0.271 -3.650
-1.026 -4.738 -2.688
-4.547 -2.936 1.196
Al In Pu
4 1 1
direct
0.624 0.624 0.624 Al
0.624 0.128 0.624 Al
0.624 0.624 0.128 Al
0.128 0.624 0.624 Al
0.000 0.000 0.000 In
0.250 0.250 0.250 Pu
```

* M_tot: 1.019 μB per atom

---

Formation energy (computed, meV/atom): -1020 123 -77